No. 1
DFT (GGA-PBE) results for a relaxed structure of SmCd2Pd8. Values from VASP.

Summary:
Theoretical density = 10.8 Mg/m³
Crystal system = monoclinic
N(E_F) = 3.53 states/eV/f.u.
Uncorrected energy = -4.818 eV per atom

Cell and atoms, written as Quantum ESPRESSO input:
```
&SYSTEM
  ibrav = 0, nat = 11, ntyp = 3
/
ATOMIC_SPECIES
Sm 150.36 Sm.upf
Cd 112.41 Cd.upf
Pd 106.42 Pd.upf
CELL_PARAMETERS angstrom
-3.0764 0.2611 2.8130
4.3202 -0.3590 4.7579
0.8121 6.9863 -2.8611
ATOMIC_POSITIONS crystal
Sm 0.5000 0.0000 0.0000
Cd 0.7751 0.3522 0.5503
Cd 0.2249 0.6478 0.4497
Pd 0.4079 0.5351 0.8159
Pd 0.6826 0.9123 0.3652
Pd 0.8601 0.8120 0.7203
Pd 0.9574 0.2809 0.9148
Pd 0.1399 0.1880 0.2797
Pd 0.3174 0.0877 0.6348
Pd 0.5921 0.4649 0.1841
Pd 0.0426 0.7191 0.0852
```


No. 2
DFT (GGA-PBE) results for a relaxed structure of SmCd4Pd2. Values from VASP.

Summary:
Theoretical density = 8.8 Mg/m³
Crystal system = orthorhombic
N(E_F) = 3.01 states/eV/f.u.
Uncorrected energy = -3.050 eV per atom
Energy above the most stable polymorph in this dataset = 1.01 kcal/mol of atoms

Cell and atoms, written as Quantum ESPRESSO input:
```
&SYSTEM
  ibrav = 0, nat = 7, ntyp = 3
/
ATOMIC_SPECIES
Sm 150.36 Sm.upf
Cd 112.41 Cd.upf
Pd 106.42 Pd.upf
CELL_PARAMETERS angstrom
-0.8661 0.9330 -3.6421
-2.4473 -3.6269 -0.3471
-5.9957 6.4078 3.0673
ATOMIC_POSITIONS crystal
Sm 0.0000 0.0000 0.0000
Cd 0.5000 0.8315 0.6631
Cd 0.0000 0.6879 0.3758
Cd 0.5000 0.1685 0.3369
Cd 0.0000 0.3121 0.6242
Pd 0.5000 0.5731 0.1462
Pd 0.5000 0.4269 0.8538
```


No. 3
DFT (GGA-PBE) results for a relaxed structure of Sm2CdPd. Values from VASP.

Summary:
Theoretical density = 7.6 Mg/m³
Crystal system = trigonal
N(E_F) = 3.78 states/eV/f.u.
Uncorrected energy = -4.297 eV per atom
Energy above the most stable polymorph in this dataset = 3.28 kcal/mol of atoms

Cell and atoms, written as Quantum ESPRESSO input:
```
&SYSTEM
  ibrav = 0, nat = 4, ntyp = 3
/
ATOMIC_SPECIES
Pd 106.42 Pd.upf
Sm 150.36 Sm.upf
Cd 112.41 Cd.upf
CELL_PARAMETERS angstrom
-1.3886 -3.3327 -1.7132
2.4689 -2.3552 -2.0805
2.0852 -6.1325 5.5785
ATOMIC_POSITIONS crystal
Pd 0.0000 0.0000 0.0000
Sm 0.2627 0.2627 0.2118
Sm 0.7373 0.7373 0.7882
Cd 0.5000 0.5000 0.5000
```


No. 4
DFT (GGA-PBE) results for a relaxed structure of Sm4CdPd7. Values from VASP.

Summary:
Theoretical density = 9.2 Mg/m³
Crystal system = monoclinic
N(E_F) = 6.37 states/eV/f.u.
Uncorrected energy = -5.288 eV per atom

Cell and atoms, written as Quantum ESPRESSO input:
```
&SYSTEM
  ibrav = 0, nat = 12, ntyp = 3
/
ATOMIC_SPECIES
Sm 150.36 Sm.upf
Cd 112.41 Cd.upf
Pd 106.42 Pd.upf
CELL_PARAMETERS angstrom
-0.5876 -5.0538 -1.5155
8.6178 -4.1167 1.0887
-1.4428 -3.9189 4.3298
ATOMIC_POSITIONS crystal
Sm 0.5972 0.2091 0.5966
Sm 0.4028 0.7909 0.4034
Sm 0.7927 0.6300 0.7847
Sm 0.2073 0.3700 0.2153
Cd 0.0000 0.0000 0.0000
Pd 0.7899 0.9032 0.5169
Pd 0.2101 0.0968 0.4831
Pd 0.0777 0.6924 0.1522
Pd 0.9223 0.3076 0.8478
Pd 0.3683 0.5210 0.7424
Pd 0.5000 0.0000 0.0000
Pd 0.6317 0.4790 0.2576
```


Listing E_form for the structures above in their given order: -0.446, -0.369, -0.410, -0.609 eV/atom.